Crystalline ZrFe2 at its relaxed geometry, computed with PBE-GGA.

```
ZrFe2
1.0
0.0000 3.5217 3.5217
3.5217 0.0000 3.5217
3.5217 3.5217 0.0000
Zr Fe
2 4
direct
0.1250 0.1250 0.1250
0.8750 0.8750 0.8750
0.0000 0.5000 0.5000
0.5000 0.0000 0.5000
0.5000 0.5000 0.0000
0.5000 0.5000 0.5000
```

Calculated values
Magnetization = 1.046 μB per atom
DOS at the Fermi energy = 3.5 states/eV/cell
Calculated formation energy = -0.283 eV/atom